Entry 1:
Crystalline MgH3Se at its relaxed geometry. Source: Alexandria, functional PBE.

abc: 3.8926 3.8926 3.8926
angles: 90.00 90.00 90.00
Last column: nearest neighbours and their distance in Å.
Sites, in units of the cell vectors:
H: 0.0000 0.5000 0.0000  2 Se 1.95
H: 0.0000 0.0000 0.5000  2 Se 1.95
H: 0.5000 0.0000 0.0000  2 Se 1.95
Mg: 0.5000 0.5000 0.5000  12 H 2.75
Se: 0.0000 0.0000 0.0000  6 H 1.95

Calculated values
Energy above the most stable polymorph in this dataset in meV per atom: 35.4

Entry 2:
Crystalline Tb4Pm2Dy5 at its relaxed geometry. Source: Alexandria, functional PBE.

abc: 3.5349 8.8111 11.7103
angles: 95.17 90.03 101.58
Last column: nearest neighbours and their distance in Å.
Sites, in units of the cell vectors:
Tb: 0.7320 0.4628 0.3551  5 Dy 3.41-3.78, 4 Tb 3.53-3.78, 2 Pm 3.62
Tb: 0.1787 0.3565 0.0737  3 Pm 3.35-3.54, 4 Tb 3.53-3.61, 3 Dy 3.57-3.58
Tb: 0.2680 0.5372 0.6449  5 Dy 3.41-3.78, 4 Tb 3.53-3.78, 2 Pm 3.62
Tb: 0.8213 0.6435 0.9263  3 Pm 3.35-3.54, 4 Tb 3.53-3.61, 3 Dy 3.57-3.58
Pm: 0.6357 0.2720 0.8134  2 Dy 3.19-3.35, 3 Tb 3.35-3.54, 2 Pm 3.53
Pm: 0.3643 0.7280 0.1866  2 Dy 3.19-3.35, 3 Tb 3.35-3.54, 2 Pm 3.53
Dy: 0.0398 0.0799 0.2822  8 Dy 3.53-3.76, 3 Tb 3.57-3.78, 2 Pm 3.60
Dy: 0.9602 0.9201 0.7178  8 Dy 3.53-3.76, 3 Tb 3.57-3.78, 2 Pm 3.60
Dy: 0.4085 0.8162 0.4573  1 Pm 3.19, 5 Dy 3.24-3.57, 1 Tb 3.41
Dy: 0.5000 0.0000 0.0000  2 Pm 3.35, 2 Dy 3.53, 4 Tb 3.58
Dy: 0.5915 0.1838 0.5427  1 Pm 3.19, 5 Dy 3.24-3.57, 1 Tb 3.41

Calculated values
ΔE_f in eV per atom: 0.048
Energy above the most stable polymorph in this dataset in meV per atom: 0.0

Entry 3:
Crystalline Ta5Te at its relaxed geometry. Source: Alexandria, functional PBE.

abc: 3.5025 3.5025 9.2763
angles: 90.00 90.00 90.00
Last column: nearest neighbours and their distance in Å.
Sites, in units of the cell vectors:
Ta: 0.0000 0.0000 0.8230  5 Ta 2.86-3.00, 4 Te 2.97
Ta: 0.0000 0.0000 0.1770  5 Ta 2.86-3.00, 4 Te 2.97
Ta: 0.5000 0.5000 0.6687  9 Ta 2.86-3.13, 1 Te 3.07
Ta: 0.5000 0.5000 0.3313  9 Ta 2.86-3.13, 1 Te 3.07
Ta: 0.0000 0.0000 0.5000  10 Ta 2.93-3.00
Te: 0.5000 0.5000 0.0000  10 Ta 2.97-3.07

Calculated values
Energy above the most stable polymorph in this dataset in meV per atom: 6.6

- Among the records above, which one has the lowest energy above the most stable polymorph in this dataset?
  Tb4Pm2Dy5

- Look up the energy above the most stable polymorph in this dataset of the second one.
  0.0 meV per atom

- Which of these has the highest energy above the most stable polymorph in this dataset?
  MgH3Se